Crystalline NiAsAu2 at its relaxed geometry, computed with GGA-PBEsol.

Lattice parameters (Å, degrees): 4.0109 4.0109 4.7801 114.81 114.81 90.00
Last column: nearest neighbours and their distance in Å.
Element x y z (fractional)
Au 0.7500 0.2500 0.5000  4 Ni 2.78, 4 Au 2.78, 4 As 2.84
Ni 0.5000 0.5000 0.0000  4 As 2.78, 8 Au 2.78-2.84
Au 0.0000 0.0000 0.0000  4 As 2.78, 4 Au 2.78, 4 Ni 2.84
As 0.2500 0.7500 0.5000  8 Au 2.78-2.84, 4 Ni 2.78

Values from the calculation:
SG = I-4m2
Energy of formation = 0.16 eV per atom
Calculated volume = 62 Å³/f.u.

---

Crystalline NiAs2Au at its relaxed geometry, computed with GGA-PBEsol.

Lattice parameters (Å, degrees): 4.4880 4.4880 4.4880 60.00 60.00 60.00
Last column: nearest neighbours and their distance in Å.
Element x y z (fractional)
As 0.7500 0.7500 0.7500  4 Au 2.75, 4 As 2.75
Ni 0.2500 0.2500 0.2500  4 As 2.75, 4 Au 2.75
As 0.0000 0.0000 0.0000  4 Ni 2.75, 4 As 2.75
Au 0.5000 0.5000 0.5000  4 As 2.75, 4 Ni 2.75

Values from the calculation:
SG = F-43m
Energy of formation = 0.35 eV per atom
Energy relative to the lowest polymorph listed for this composition = 0.304 eV/atom
Calculated volume = 64 Å³/f.u.

---

Crystalline NiAsAu2 at its relaxed geometry, computed with GGA-PBEsol.

Lattice parameters (Å, degrees): 2.8018 2.8018 8.0490 90.00 90.00 90.00
Last column: nearest neighbours and their distance in Å.
Element x y z (fractional)
Ni 0.5000 0.5000 0.0000  8 Au 2.65, 4 Ni 2.80
As 0.5000 0.5000 0.5000  4 As 2.80, 8 Au 3.01
Au 0.0000 0.0000 0.7816  4 Ni 2.65, 4 Au 2.80
Au 0.0000 0.0000 0.2184  4 Ni 2.65, 4 Au 2.80

Values from the calculation:
SG = P4/mmm
Energy of formation = 0.16 eV per atom
Calculated volume = 63 Å³/f.u.

---

Crystalline NiAsAu2 at its relaxed geometry, computed with GGA-PBEsol.

Lattice parameters (Å, degrees): 3.9080 3.9080 4.9084 113.46 113.46 90.00
Last column: nearest neighbours and their distance in Å.
Element x y z (fractional)
Au 0.7500 0.2500 0.5000  4 Au 2.76, 4 As 2.82, 4 Ni 2.82
As 0.0000 0.0000 0.0000  4 Ni 2.76, 8 Au 2.82
Au 0.2500 0.7500 0.5000  4 Au 2.76, 4 Ni 2.82, 4 As 2.82
Ni 0.5000 0.5000 0.0000  4 As 2.76, 8 Au 2.82

Values from the calculation:
SG = I4/mmm
Energy of formation = 0.15 eV per atom
Calculated volume = 62 Å³/f.u.

---

Question: The highest energy of formation belongs to which entry?
Answer: NiAs2Au

---

Please write out number 4 again, unchanged.
Crystalline NiAsAu2 at its relaxed geometry, computed with GGA-PBEsol.

Lattice parameters (Å, degrees): 3.9080 3.9080 4.9084 113.46 113.46 90.00
Last column: nearest neighbours and their distance in Å.
Element x y z (fractional)
Au 0.7500 0.2500 0.5000  4 Au 2.76, 4 As 2.82, 4 Ni 2.82
As 0.0000 0.0000 0.0000  4 Ni 2.76, 8 Au 2.82
Au 0.2500 0.7500 0.5000  4 Au 2.76, 4 Ni 2.82, 4 As 2.82
Ni 0.5000 0.5000 0.0000  4 As 2.76, 8 Au 2.82

Values from the calculation:
SG = I4/mmm
Energy of formation = 0.15 eV per atom
Calculated volume = 62 Å³/f.u.